Compound: BaTlAs2Pd4
Source: the Alexandria database
Functional: PBE-GGA
Structure: relaxed

The structure in CIF format:
```
data_BaTlAs2Pd4
_space_group_name_H-M_alt 'P 4/m m m'
_space_group_IT_number 123
_space_group_name_Hall '-P 4 2'
_cell_length_a 4.144
_cell_length_b 4.144
_cell_length_c 10.513
_cell_angle_alpha 90.00
_cell_angle_beta 90.00
_cell_angle_gamma 90.00
loop_
_atom_site_label
_atom_site_type_symbol
_atom_site_fract_x
_atom_site_fract_y
_atom_site_fract_z
Ba1 Ba 0.000 0.000 0.000
Tl1 Tl 0.000 0.000 0.500
As1 As 0.500 0.500 0.181
Pd1 Pd 0.000 0.500 0.308
```

Results
The raw total energy comes out at -4.786 eV per atom. The density is 8.44 g cm⁻³. The value obtained for the size of the total moment is 0.0000 μB per atom. For the formation energy, the calculation gives -491 meV/atom. Its crystal system is tetragonal.